Ho12ZnCo5: relaxed, PBE.

Unit cell a=8.166 b=8.166 c=8.166 alpha=106.80 beta=111.05 gamma=110.61
Positions (direct):
Ho  0.540  0.820  0.720
Ho  0.460  0.180  0.280
Ho  0.900  0.180  0.720
Ho  0.100  0.820  0.280
Ho  0.689  0.676  0.365
Ho  0.311  0.324  0.635
Ho  0.311  0.676  0.987
Ho  0.689  0.324  0.013
Ho  0.812  0.586  0.774
Ho  0.188  0.414  0.226
Ho  0.188  0.962  0.774
Ho  0.812  0.038  0.226
Zn  0.000  0.500  0.500
Co  0.655  0.655  0.000
Co  0.345  0.345  0.000
Co  0.500  0.114  0.614
Co  0.500  0.886  0.386
Co  0.000  0.000  0.000

Values from the calculation:
**Calculated formation energy**: -206 meV/atom
**DOS(E_F)**: 18.84 states/eV per cell
**DFT total energy**: -0.1949 hartree per atom